The following is a PBE calculation of an optimized crystal structure of ThMoC3, from Alexandria via LeMat-Bulk.

Output
The value obtained for the calculated formation energy is -0.037 eV/atom. Its size of the total moment is 0.000 μB per formula unit. The value obtained for the total energy is -92.22 eV/cell.

a = 3.9410 Å, b = 5.6926 Å, c = 6.3771 Å
α = 90.00°, β = 100.43°, γ = 90.00°
Last column: nearest neighbours and their distance in Å.
Fractional positions:
Th 0.0693 0.2500 0.2476  3 C 2.46-2.72
Th 0.9307 0.7500 0.7524  3 C 2.46-2.72
Mo 0.4297 0.2500 0.7840  4 C 1.97-2.15
Mo 0.5703 0.7500 0.2160  4 C 1.97-2.15
C 0.0819 0.7500 0.3522  1 C 1.37
C 0.3712 0.7500 0.5084  1 C 1.37
C 0.5000 0.0000 0.0000  2 Mo 1.97
C 0.5000 0.5000 0.0000  2 Mo 1.97
C 0.6288 0.2500 0.4916  1 C 1.37
C 0.9181 0.2500 0.6478  1 C 1.37